No. 1
{
  "formula": "LiAc2Sm",
  "functional": "PBE",
  "state": "relaxed",
  "lattice": [[-1.870, 2.379, 2.290], [-3.588, 0.959, -0.782], [-6.029, -8.932, 7.501]],
  "species": ["Ac", "Li", "Ac", "Sm"],
  "frac_coords": [[0.089, 0.089, 0.733], [0.000, 0.000, 0.000], [0.911, 0.911, 0.267], [0.500, 0.500, 0.500]],
  "energy_ev_per_cell": -14.05,
  "total_magnetization_mub_per_cell": 0.00,
  "volume_a3_per_atom": 40.37,
  "mass_density_g_cm3": 6.3
}

No. 2
{
  "formula": "LiAcSm",
  "functional": "PBE",
  "state": "relaxed",
  "lattice": [[-0.340, 3.512, 1.257], [0.950, -2.750, 2.359], [8.306, 1.413, -1.699]],
  "species": ["Li", "Ac", "Sm"],
  "frac_coords": [[0.000, 0.000, 0.993], [0.667, 0.333, 0.327], [0.333, 0.667, 0.680]],
  "energy_ev_per_cell": -10.33,
  "total_magnetization_mub_per_cell": 0.00,
  "volume_a3_per_atom": 34.81,
  "mass_density_g_cm3": 6.1
}

No. 3
{
  "formula": "LiAcSm2",
  "functional": "PBE",
  "state": "relaxed",
  "lattice": [[-1.209, 0.785, -3.355], [-3.587, 0.258, -0.634], [-1.197, 12.626, 1.399]],
  "species": ["Sm", "Sm", "Ac", "Li"],
  "frac_coords": [[0.912, 0.912, 0.263], [0.088, 0.088, 0.737], [0.500, 0.500, 0.500], [0.000, 0.000, 0.000]],
  "energy_ev_per_cell": -14.51,
  "total_magnetization_mub_per_cell": 0.00,
  "volume_a3_per_atom": 36.33,
  "mass_density_g_cm3": 6.1
}

No. 4
{
  "formula": "LiAcSm2",
  "functional": "PBE",
  "state": "relaxed",
  "lattice": [[3.686, 0.000, 0.000], [1.843, 3.192, 0.000], [1.843, 1.064, 11.630]],
  "species": ["Sm", "Li", "Ac", "Sm"],
  "frac_coords": [[0.257, 0.257, 0.230], [0.667, 0.667, 0.000], [0.500, 0.500, 0.500], [0.077, 0.077, 0.770]],
  "energy_ev_per_cell": -14.83,
  "total_magnetization_mub_per_cell": 0.00,
  "volume_a3_per_atom": 34.21,
  "mass_density_g_cm3": 6.5
}

No. 5
{
  "formula": "LiAc2Sm",
  "functional": "PBE",
  "state": "relaxed",
  "lattice": [[-2.884, -2.525, -0.368], [-1.439, -1.746, 3.115], [-9.271, 7.331, 2.206]],
  "species": ["Ac", "Li", "Sm", "Ac"],
  "frac_coords": [[0.252, 0.252, 0.245], [0.667, 0.667, 0.999], [0.500, 0.500, 0.501], [0.081, 0.081, 0.756]],
  "energy_ev_per_cell": -14.49,
  "total_magnetization_mub_per_cell": 0.00,
  "volume_a3_per_atom": 37.93,
  "mass_density_g_cm3": 6.7
}

No. 6
{
  "formula": "LiAc2Sm",
  "functional": "PBE",
  "state": "relaxed",
  "lattice": [[3.930, 0.000, 0.000], [0.000, 3.930, 0.000], [0.000, 0.000, 9.444]],
  "species": ["Ac", "Li", "Ac", "Sm"],
  "frac_coords": [[0.000, 0.000, 0.772], [0.500, 0.500, 0.000], [0.000, 0.000, 0.228], [0.500, 0.500, 0.500]],
  "energy_ev_per_cell": -14.60,
  "total_magnetization_mub_per_cell": 0.00,
  "volume_a3_per_atom": 36.47,
  "mass_density_g_cm3": 7.0
}

No. 7
{
  "formula": "LiAc2Sm",
  "functional": "PBE",
  "state": "relaxed",
  "lattice": [[-0.120, 0.005, 5.931], [-1.055, -5.037, 2.950], [4.359, -2.616, 3.057]],
  "species": ["Ac", "Sm", "Li", "Ac"],
  "frac_coords": [[0.250, 0.250, 0.250], [0.500, 0.500, 0.500], [0.000, 0.000, 0.000], [0.750, 0.750, 0.750]],
  "energy_ev_per_cell": -14.32,
  "total_magnetization_mub_per_cell": 0.00,
  "volume_a3_per_atom": 36.90,
  "mass_density_g_cm3": 6.9
}

No. 8
{
  "formula": "LiAcSm2",
  "functional": "PBE",
  "state": "relaxed",
  "lattice": [[-3.261, -4.376, -1.884], [2.248, -5.301, -0.424], [-1.665, -4.144, 3.660]],
  "species": ["Li", "Sm", "Ac", "Sm"],
  "frac_coords": [[0.500, 0.500, 0.500], [0.750, 0.750, 0.750], [0.000, 0.000, 0.000], [0.250, 0.250, 0.250]],
  "energy_ev_per_cell": -14.52,
  "total_magnetization_mub_per_cell": 0.00,
  "volume_a3_per_atom": 34.02,
  "mass_density_g_cm3": 6.5
}

No. 9
{
  "formula": "LiAcSm",
  "functional": "PBE",
  "state": "relaxed",
  "lattice": [[5.228, 0.000, 0.000], [0.000, 6.475, 0.578], [0.000, 0.007, 6.500]],
  "species": ["Sm", "Li", "Li", "Ac", "Sm", "Ac"],
  "frac_coords": [[0.500, 0.820, 0.180], [0.000, 0.000, 0.000], [0.500, 0.500, 0.500], [0.000, 0.307, 0.307], [0.500, 0.180, 0.820], [0.000, 0.693, 0.693]],
  "energy_ev_per_cell": -18.42,
  "total_magnetization_mub_per_cell": 0.00,
  "volume_a3_per_atom": 36.67,
  "mass_density_g_cm3": 5.8
}

No. 10
{
  "formula": "LiAc4Sm",
  "functional": "PBE",
  "state": "relaxed",
  "lattice": [[3.953, 0.000, 0.000], [0.000, 3.953, 0.000], [0.000, 0.000, 15.001]],
  "species": ["Ac", "Li", "Ac", "Ac", "Sm", "Ac"],
  "frac_coords": [[0.500, 0.500, 0.830], [0.500, 0.500, 0.500], [0.500, 0.500, 0.170], [0.000, 0.000, 0.357], [0.000, 0.000, 0.000], [0.000, 0.000, 0.643]],
  "energy_ev_per_cell": -22.80,
  "total_magnetization_mub_per_cell": 0.00,
  "volume_a3_per_atom": 39.07,
  "mass_density_g_cm3": 7.5
}

No. 11
{
  "formula": "LiAcSm2",
  "functional": "PBE",
  "state": "relaxed",
  "lattice": [[-1.118, -2.263, 4.828], [0.224, -4.518, -2.066], [4.863, -0.226, 1.020]],
  "species": ["Sm", "Sm", "Li", "Ac"],
  "frac_coords": [[0.000, 0.500, 0.000], [0.000, 0.000, 0.500], [0.500, 0.000, 0.000], [0.500, 0.500, 0.500]],
  "energy_ev_per_cell": -14.76,
  "total_magnetization_mub_per_cell": 0.00,
  "volume_a3_per_atom": 33.69,
  "mass_density_g_cm3": 6.6
}

No. 12
{
  "formula": "Li3Ac2SmSn4",
  "functional": "PBE",
  "state": "relaxed",
  "lattice": [[4.738, 0.000, 0.000], [0.000, 4.738, 0.000], [0.000, 0.000, 12.251]],
  "species": ["Ac", "Li", "Sn", "Li", "Sn", "Ac", "Sn", "Li", "Sn", "Sm"],
  "frac_coords": [[0.500, 0.000, 0.225], [0.000, 0.000, 0.500], [0.000, 0.500, 0.342], [0.000, 0.500, 0.121], [0.000, 0.000, 0.000], [0.000, 0.500, 0.775], [0.500, 0.500, 0.000], [0.500, 0.000, 0.879], [0.500, 0.000, 0.658], [0.500, 0.500, 0.500]],
  "energy_ev_per_cell": -40.67,
  "total_magnetization_mub_per_cell": 0.00,
  "volume_a3_per_atom": 27.50,
  "mass_density_g_cm3": 6.6
}